[1]
A plane-wave DFT calculation with PBE was carried out for a relaxed structure of AlTl2P.

The value obtained for the volume is 25.354 Å³ per atom. For the energy of formation, the calculation gives -2 kJ/mol of atoms. The total magnetization comes out at 0.00 μB per formula unit.

It has space group P-1 (No. 2), with a = 3.482 Å, b = 3.516 Å, c = 8.539 Å, α = 99.59°, β = 100.13° and γ = 90.43°. The inequivalent atoms are Al at (0.000, 0.000, 0.000), Tl at (0.155, 0.640, 0.326) and P at (0.500, 0.500, 0.000).


[2]
A plane-wave DFT calculation with PBE was carried out for a relaxed structure of AlTlP2.

The value obtained for the volume is 21.673 Å³ per atom. For the energy of formation, the calculation gives 12 kJ/mol of atoms. The total magnetization comes out at 0.00 μB per formula unit.

It has space group Pm (No. 6), with a = 3.932 Å, b = 3.343 Å, c = 6.640 Å, α = 90.00°, β = 96.73° and γ = 90.00°. The inequivalent atoms are Al at (0.000, 0.000, 0.000), Tl at (0.010, 0.500, 0.409), P at (0.466, 0.500, 0.941) and P at (0.579, 0.000, 0.702).


[3]
A plane-wave DFT calculation with PBE was carried out for a relaxed structure of Al2TlP.

The value obtained for the volume is 21.451 Å³ per atom. For the energy of formation, the calculation gives 18 kJ/mol of atoms. The total magnetization comes out at 0.00 μB per formula unit.

It has space group Immm (No. 71), with a = 3.520 Å, b = 5.713 Å, c = 8.534 Å, α = 90.00°, β = 90.00° and γ = 90.00°. The inequivalent atoms are Al at (0.000, 0.000, 0.199), Tl at (0.000, 0.500, 0.000) and P at (0.000, 0.500, 0.500).


| no. | E above lowest polymorph (eV/atom) | VASP energy (eV for the cell shown) |
| --- | --- | --- |
| 1 | 0.0587 | -13.98 |
| 2 | 0.3104 | -16.44 |
| 3 | 0.2371 | -29.06 |